# GGA-PBE Rb3NpSb2Te6, relaxed
data_Rb3NpSb2Te6
_chemical_formula_sum 'Rb6 Np2 Sb4 Te12'
_space_group_name_H-M_alt 'C 1 2/m 1'
_space_group_IT_number 12
_space_group_name_Hall '-C 2y'
_cell_length_a 7.9392
_cell_length_b 13.7501
_cell_length_c 8.9498
_cell_angle_alpha 90.00
_cell_angle_beta 107.20
_cell_angle_gamma 90.00
loop_
_atom_site_label
_atom_site_fract_x
_atom_site_fract_y
_atom_site_fract_z
_atom_site_occupancy
Rb1 0.0000 0.0000 0.0000 1
Rb2 0.0000 0.3339 0.0000 1
Np1 0.0000 0.5000 0.5000 1
Sb1 0.0000 0.1667 0.5000 1
Te1 0.2289 0.0000 0.6982 1
Te2 0.2347 0.3314 0.6982 1
# Fermi-level density of states = 10.5 states/eV/cell
# Energy relative to the elements, uncorrected = -7.6 eV/f.u.